Density functional theory data (PBE-GGA) for a relaxed structure of Y2Zr2Mn.

Properties
For the formation energy, the calculation gives 0.2032 eV per atom. Its space group is P4/mbm. For the spin magnetization, the calculation gives 1.50 μB per cell.

Geometry as POSCAR:
```
Y2Zr2Mn
1.0
6.711 0.000 0.000
0.000 6.711 0.000
0.000 0.000 5.369
Y Mn Zr
4 2 4
Cartesian
1.140 4.495 2.684
4.495 5.572 2.684
5.572 2.216 2.684
2.216 1.140 2.684
0.000 0.000 0.000
3.356 3.356 0.000
2.312 5.668 0.000
5.668 4.399 0.000
4.399 1.043 0.000
1.043 2.312 0.000
```

---

Density functional theory data (PBE-GGA) for a relaxed structure of YZr2Mn2.

Properties
For the formation energy, the calculation gives 0.2055 eV per atom. Its space group is P4/mbm. For the spin magnetization, the calculation gives 0.00 μB per cell.

Geometry as POSCAR:
```
YZr2Mn2
1.0
7.620 0.000 0.000
0.000 7.620 0.000
0.000 0.000 3.300
Y Mn Zr
2 4 4
Cartesian
0.000 0.000 0.000
3.810 3.810 0.000
2.738 6.548 0.000
6.548 4.882 0.000
4.882 1.072 0.000
1.072 2.738 0.000
1.121 4.931 1.650
4.931 6.499 1.650
6.499 2.689 1.650
2.689 1.121 1.650
```

---

Density functional theory data (PBE-GGA) for a relaxed structure of YZr2Mn.

Properties
For the formation energy, the calculation gives 1.1463 eV per atom. Its space group is I-42d. For the spin magnetization, the calculation gives 0.00 μB per cell.

Geometry as POSCAR:
```
YZr2Mn
1.0
7.118 0.000 0.000
0.000 7.118 0.000
3.559 3.559 5.039
Y Mn Zr
2 2 4
Cartesian
0.000 0.000 0.000
7.118 3.559 2.520
3.559 3.559 0.000
3.559 7.118 2.520
3.569 1.779 1.260
3.549 5.338 1.260
5.338 7.108 3.780
8.897 7.128 3.780
```

---

Density functional theory data (PBE-GGA) for a relaxed structure of YZr2Mn.

Properties
For the formation energy, the calculation gives 0.1281 eV per atom. Its space group is Cm. For the spin magnetization, the calculation gives 0.00 μB per cell.

Geometry as POSCAR:
```
YZr2Mn
1.0
-2.028 4.472 3.255
-1.670 1.803 5.354
3.485 2.501 2.587
Mn Y Zr
1 1 2
Cartesian
-0.357 4.327 5.562
-0.395 6.769 8.674
-3.638 6.316 8.651
0.372 2.028 2.515
```

---

Density functional theory data (PBE-GGA) for a relaxed structure of YbMn28.

Properties
For the formation energy, the calculation gives 0.0558 eV per atom. Its space group is I-43m. For the spin magnetization, the calculation gives 5.78 μB per cell.

Geometry as POSCAR:
```
YbMn28
1.0
7.565 0.000 0.000
-2.522 7.132 0.000
-2.522 -3.566 6.177
Yb Mn
1 28
Cartesian
0.000 0.000 0.000
4.733 0.000 0.000
-1.578 4.462 0.000
-1.578 -2.231 3.864
0.944 1.335 2.313
1.246 4.836 0.000
3.768 1.148 1.989
1.246 -2.418 4.188
4.144 2.787 0.000
-2.695 0.369 4.188
-0.173 3.935 1.989
-0.173 -0.245 4.402
-2.695 3.443 2.413
4.144 -1.393 2.413
2.348 3.321 1.775
-0.899 2.173 3.764
2.348 -0.124 3.764
2.373 1.428 0.000
-2.671 2.852 4.940
2.373 -0.714 1.237
0.555 2.713 0.000
-1.464 1.999 1.237
3.579 -1.567 4.940
3.579 5.062 1.113
-1.464 0.072 2.349
0.555 -1.356 2.349
1.058 1.496 5.064
3.077 2.210 3.827
1.058 3.638 3.827
```

---

Density functional theory data (PBE-GGA) for a relaxed structure of YbMn2.

Properties
For the formation energy, the calculation gives 0.3474 eV per atom. Its space group is P6_3/mmc. For the spin magnetization, the calculation gives 27.52 μB per cell.

Geometry as POSCAR:
```
YbMn2
1.0
5.473 0.000 0.000
-2.737 4.740 0.000
0.000 0.000 8.912
Yb Mn
4 8
Cartesian
0.000 3.160 3.899
2.737 1.580 5.013
2.737 1.580 8.354
0.000 3.160 0.557
0.000 0.000 4.456
0.000 0.000 0.000
4.184 0.744 2.228
2.737 3.251 2.228
1.289 0.744 2.228
-1.447 3.996 6.684
0.000 1.489 6.684
1.447 3.996 6.684
```

---

Density functional theory data (PBE-GGA) for a relaxed structure of YbMn3.

Properties
For the formation energy, the calculation gives 0.4619 eV per atom. Its space group is Pm-3m. For the spin magnetization, the calculation gives 10.67 μB per cell.

Geometry as POSCAR:
```
YbMn3
1.0
4.090 0.000 0.000
0.000 4.090 0.000
0.000 0.000 4.090
Yb Mn
1 3
Cartesian
0.000 0.000 0.000
0.000 2.045 2.045
2.045 0.000 2.045
2.045 2.045 0.000
```

---

Density functional theory data (PBE-GGA) for a relaxed structure of Mn3Zn.

Properties
For the formation energy, the calculation gives 0.0868 eV per atom. Its space group is I4/mmm. For the spin magnetization, the calculation gives 3.79 μB per cell.

Geometry as POSCAR:
```
Mn3Zn
1.0
3.808 0.000 0.000
0.000 3.808 0.000
-1.904 -1.904 6.988
Mn Zn
6 2
Cartesian
0.000 1.904 0.000
0.000 0.000 1.781
1.904 1.904 5.208
0.000 1.904 3.494
1.904 0.000 3.494
1.904 0.000 0.000
0.000 0.000 5.247
1.904 1.904 1.742
```

---

Density functional theory data (PBE-GGA) for a relaxed structure of MnZn5.

Properties
For the formation energy, the calculation gives -0.0009 eV per atom. Its space group is Cmmm. For the spin magnetization, the calculation gives 2.82 μB per cell.

Geometry as POSCAR:
```
MnZn5
1.0
6.048 -0.005 0.000
-4.819 3.654 0.000
0.000 0.000 3.874
Mn Zn
1 5
Cartesian
5.746 0.097 0.000
3.980 0.691 1.937
2.133 1.313 0.000
0.313 1.926 1.937
-1.508 2.539 0.000
-3.355 3.161 1.937
```

---

Density functional theory data (PBE-GGA) for a relaxed structure of Mn2Zn3.

Properties
For the formation energy, the calculation gives 0.2150 eV per atom. Its space group is P-3m1. For the spin magnetization, the calculation gives 6.52 μB per cell.

Geometry as POSCAR:
```
Mn2Zn3
1.0
-3.625 1.077 1.836
1.953 -3.549 1.124
2.631 2.608 3.663
Mn Zn
2 3
Cartesian
-1.388 -0.090 2.126
2.347 0.227 4.499
0.000 0.000 0.000
-0.081 1.205 3.945
1.040 -1.069 2.680
```

---

Density functional theory data (PBE-GGA) for a relaxed structure of Mn2Zn3.

Properties
For the formation energy, the calculation gives 0.0846 eV per atom. Its space group is C2/m. For the spin magnetization, the calculation gives 6.42 μB per cell.

Geometry as POSCAR:
```
Mn2Zn3
1.0
-0.964 -3.859 1.098
3.666 1.685 1.388
-4.487 1.768 2.273
Mn Zn
2 3
Cartesian
1.651 0.153 1.987
-3.436 -0.559 2.773
-0.367 -1.365 2.635
-1.419 0.959 2.124
0.000 0.000 0.000
```

---

Density functional theory data (PBE-GGA) for a relaxed structure of MnZn3.

Properties
For the formation energy, the calculation gives 0.7727 eV per atom. Its space group is Pm-3m. For the spin magnetization, the calculation gives 3.66 μB per cell.

Geometry as POSCAR:
```
MnZn3
1.0
-1.699 2.274 4.017
3.899 -1.584 2.546
2.471 4.063 -1.256
Mn Zn
1 3
Cartesian
0.000 0.000 0.000
-0.849 1.137 2.008
1.949 -0.792 1.273
1.235 2.032 -0.628
```

---

Density functional theory data (PBE-GGA) for a relaxed structure of Mn3Zn.

Properties
For the formation energy, the calculation gives 0.2257 eV per atom. Its space group is I4/mmm. For the spin magnetization, the calculation gives 3.40 μB per cell.

Geometry as POSCAR:
```
Mn3Zn
1.0
-3.850 -2.247 0.954
0.489 -4.521 0.315
2.151 3.603 1.781
Mn Zn
3 1
Cartesian
-1.690 -1.014 1.684
0.480 -2.151 1.365
-1.680 -3.384 0.634
0.000 0.000 0.000
```

---

Density functional theory data (PBE-GGA) for a relaxed structure of MnZn3.

Properties
For the formation energy, the calculation gives 0.0520 eV per atom. Its space group is Pmmm. For the spin magnetization, the calculation gives 2.97 μB per cell.

Geometry as POSCAR:
```
MnZn3
1.0
2.703 0.000 0.000
0.000 3.822 0.000
0.000 0.000 5.476
Zn Mn
3 1
Cartesian
0.000 0.000 2.738
1.351 1.911 1.311
1.351 1.911 4.165
0.000 0.000 0.000
```

---

Density functional theory data (PBE-GGA) for a relaxed structure of Mn3Zn4.

Properties
For the formation energy, the calculation gives 0.2341 eV per atom. Its space group is P6/mmm. For the spin magnetization, the calculation gives 7.60 μB per cell.

Geometry as POSCAR:
```
Mn3Zn4
1.0
-1.373 4.477 -1.466
-3.343 -3.562 0.466
-0.717 1.266 4.536
Mn Zn
3 4
Cartesian
-1.671 -1.781 0.233
-2.358 0.458 -0.500
-0.686 2.238 -0.733
-0.179 0.316 1.134
-0.537 0.949 3.402
-2.388 2.430 1.446
-3.044 -0.249 2.090
```

---

Density functional theory data (PBE-GGA) for a relaxed structure of Mn3Zn.

Properties
For the formation energy, the calculation gives 0.1271 eV per atom. Its space group is Fm-3m. For the spin magnetization, the calculation gives 1.06 μB per cell.

Geometry as POSCAR:
```
Mn3Zn
1.0
4.142 0.000 0.000
2.071 3.587 0.000
2.071 1.196 3.382
Zn Mn
1 3
Cartesian
6.213 3.587 2.536
0.000 0.000 0.000
4.142 2.391 1.691
2.071 1.196 0.845
```

---

Density functional theory data (PBE-GGA) for a relaxed structure of Mn2Zn3.

Properties
For the formation energy, the calculation gives 0.1139 eV per atom. Its space group is Fdd2. For the spin magnetization, the calculation gives 13.45 μB per cell.

Geometry as POSCAR:
```
Mn2Zn3
1.0
-3.246 3.056 6.392
0.446 5.613 3.921
-4.873 1.586 -0.109
Mn Zn
4 6
Cartesian
-5.436 4.769 6.458
-1.948 4.469 4.380
-4.319 3.558 1.559
-3.656 7.751 7.989
-3.338 6.317 5.816
-4.570 4.759 3.878
-5.686 7.413 6.207
-6.059 8.789 8.588
-3.302 3.252 6.270
-1.974 2.760 2.429
```

---

Density functional theory data (PBE-GGA) for a relaxed structure of MnZn5.

Properties
For the formation energy, the calculation gives 0.1194 eV per atom. Its space group is F-43m. For the spin magnetization, the calculation gives 3.80 μB per cell.

Geometry as POSCAR:
```
MnZn5
1.0
0.198 1.295 4.859
-3.737 2.679 2.045
-3.122 -2.153 3.307
Mn Zn
1 5
Cartesian
0.000 0.000 0.000
-2.599 2.220 4.727
-1.665 0.455 2.553
-4.167 1.139 6.387
-4.266 0.489 3.948
-2.291 -0.206 5.360
```

---

Density functional theory data (PBE-GGA) for a relaxed structure of Mn2Zn13.

Properties
For the formation energy, the calculation gives 0.2134 eV per atom. Its space group is R-3m. For the spin magnetization, the calculation gives 6.89 μB per cell.

Geometry as POSCAR:
```
Mn2Zn13
1.0
-5.313 0.267 -4.806
-5.565 -4.486 0.555
-6.620 2.746 2.123
Mn Zn
2 13
Cartesian
-4.213 -0.592 -0.722
-13.284 -0.881 -1.405
-8.749 -0.736 -1.064
-8.489 -3.236 -1.489
-6.425 -1.572 -1.695
-8.396 -1.473 -3.478
-9.101 0.000 1.351
-9.008 1.763 -0.638
-11.072 0.099 -0.432
-10.196 -2.414 0.443
-6.642 0.451 0.088
-10.035 0.622 -2.981
-7.462 -2.095 0.854
-7.302 0.941 -2.570
-10.856 -1.924 -2.215
```

---

Density functional theory data (PBE-GGA) for a relaxed structure of Mn5Zn.

Properties
For the formation energy, the calculation gives 0.1827 eV per atom. Its space group is F-43m. For the spin magnetization, the calculation gives 1.24 μB per cell.

Geometry as POSCAR:
```
Mn5Zn
1.0
0.000 3.306 3.306
3.306 0.000 3.306
3.306 3.306 0.000
Mn Zn
5 1
Cartesian
2.474 2.474 4.138
1.653 1.653 1.653
4.138 4.138 4.138
4.138 2.474 2.474
2.474 4.138 2.474
0.000 0.000 0.000
```

---

no.,Fermi-level density of states (states/eV per cell)
1,10.63
2,21.25
3,2.69
4,3.81
5,44.56
6,15.41
7,4.40
8,7.39
9,1.83
10,3.51
11,2.71
12,3.44
13,4.79
14,2.26
15,6.42
16,3.77
17,7.47
18,1.66
19,5.55
20,7.78